Record 1
Compound: BeAsN2
Source: the Alexandria database
Functional: PBE
Structure: optimized geometry

It has space group R-3m (No. 166, hexagonal axes), with a = 3.0878 Å, b = 3.0878 Å, c = 15.8008 Å, α = 90.00°, β = 90.00° and γ = 120.00°. The asymmetric unit holds Be at (0.0000, 0.0000, 0.0000), As at (0.0000, 0.0000, 0.5000) and N at (0.0000, 0.0000, 0.0980).

The formation energy from raw total energies is 0.303 eV/atom. As for the total magnetic moment: 0.000 Bohr magnetons per cell. The density of states at the Fermi level is 4.13 states/eV per cell. The distance to the lowest polymorph of the same formula comes out at 216 meV/atom.

=====

Record 2
Compound: BeAsN3
Source: the Alexandria database
Functional: PBE
Structure: optimized geometry

It has space group Pm-3m (No. 221), with a = 3.5341 Å, b = 3.5341 Å, c = 3.5341 Å, α = 90.00°, β = 90.00° and γ = 90.00°. The asymmetric unit holds Be at (0.0000, 0.0000, 0.0000), As at (0.5000, 0.5000, 0.5000) and N at (0.0000, 0.0000, 0.5000).

The formation energy from raw total energies is 1.593 eV/atom. As for the total magnetic moment: 0.000 Bohr magnetons per cell. The density of states at the Fermi level is 5.20 states/eV per cell.

=====

Record 3
Compound: BeAsN2
Source: the Alexandria database
Functional: PBE
Structure: optimized geometry

It has space group I-42d (No. 122), with a = 4.3291 Å, b = 4.3291 Å, c = 8.8406 Å, α = 90.00°, β = 90.00° and γ = 90.00°. The asymmetric unit holds Be at (0.0000, 0.0000, 0.0000), As at (0.0000, 0.0000, 0.5000) and N at (0.2060, 0.2500, 0.1250).

The formation energy from raw total energies is 0.087 eV/atom. As for the total magnetic moment: 0.000 Bohr magnetons per cell. The density of states at the Fermi level is 8.21 states/eV per cell. The distance to the lowest polymorph of the same formula comes out at 0 meV/atom.

=====

Record 4
Compound: BeAsN2
Source: the Alexandria database
Functional: PBE
Structure: optimized geometry

It has space group Fm-3m (No. 225), with a = 5.2814 Å, b = 5.2814 Å, c = 5.2814 Å, α = 90.00°, β = 90.00° and γ = 90.00°. The asymmetric unit holds Be at (0.0000, 0.0000, 0.0000), As at (0.0000, 0.0000, 0.5000) and N at (0.2500, 0.2500, 0.2500).

The formation energy from raw total energies is 1.412 eV/atom. As for the total magnetic moment: 0.000 Bohr magnetons per cell. The density of states at the Fermi level is 9.82 states/eV per cell. The distance to the lowest polymorph of the same formula comes out at 1325 meV/atom.

=====

Record 5
Compound: BeAsN2
Source: the Alexandria database
Functional: PBE
Structure: optimized geometry

It has space group R-3m (No. 166, hexagonal axes), with a = 2.9302 Å, b = 2.9302 Å, c = 16.1912 Å, α = 90.00°, β = 90.00° and γ = 120.00°. The asymmetric unit holds Be at (0.0000, 0.0000, 0.0000), As at (0.0000, 0.0000, 0.5000) and N at (0.0000, 0.0000, 0.3888).

The formation energy from raw total energies is 0.612 eV/atom. As for the total magnetic moment: 0.000 Bohr magnetons per cell. The density of states at the Fermi level is 5.76 states/eV per cell. The distance to the lowest polymorph of the same formula comes out at 525 meV/atom.

=====

Record 6
Compound: BeAs3N
Source: the Alexandria database
Functional: PBE
Structure: optimized geometry

It has space group Pm-3m (No. 221), with a = 4.3045 Å, b = 4.3045 Å, c = 4.3045 Å, α = 90.00°, β = 90.00° and γ = 90.00°. The asymmetric unit holds Be at (0.0000, 0.0000, 0.0000), As at (0.0000, 0.5000, 0.5000) and N at (0.5000, 0.5000, 0.5000).

The formation energy from raw total energies is 1.002 eV/atom. As for the total magnetic moment: 0.000 Bohr magnetons per cell. The density of states at the Fermi level is 3.05 states/eV per cell. The distance to the lowest polymorph of the same formula comes out at 0 meV/atom.

=====

Record 7
Compound: BeAsN3
Source: the Alexandria database
Functional: PBE
Structure: optimized geometry

It has space group Pm-3m (No. 221), with a = 3.6864 Å, b = 3.6864 Å, c = 3.6864 Å, α = 90.00°, β = 90.00° and γ = 90.00°. The asymmetric unit holds Be at (0.0000, 0.0000, 0.0000), As at (0.5000, 0.5000, 0.5000) and N at (0.0000, 0.5000, 0.5000).

The formation energy from raw total energies is 1.758 eV/atom. As for the total magnetic moment: 0.000 Bohr magnetons per cell. The density of states at the Fermi level is 2.38 states/eV per cell.

=====

Record 8
Compound: NaBeAs2N
Source: the Alexandria database
Functional: PBE
Structure: optimized geometry

It has space group P4/mmm (No. 123), with a = 5.1181 Å, b = 5.1181 Å, c = 3.0798 Å, α = 90.00°, β = 90.00° and γ = 90.00°. The asymmetric unit holds Na at (0.0000, 0.0000, 0.0000), Be at (0.5000, 0.5000, 0.0000), As at (0.0000, 0.5000, 0.5000) and N at (0.5000, 0.5000, 0.5000).

The formation energy from raw total energies is 0.104 eV/atom. As for the total magnetic moment: 0.000 Bohr magnetons per cell. The density of states at the Fermi level is 1.81 states/eV per cell.

=====

Record 9
Compound: BeNbAsN2
Source: the Alexandria database
Functional: PBE
Structure: optimized geometry

It has space group P4/mmm (No. 123), with a = 3.9350 Å, b = 3.9350 Å, c = 5.5680 Å, α = 90.00°, β = 90.00° and γ = 90.00°. The asymmetric unit holds Be at (0.0000, 0.0000, 0.0000), Nb at (0.5000, 0.5000, 0.5000), As at (0.5000, 0.5000, 0.0000) and N at (0.0000, 0.5000, 0.5000).

The formation energy from raw total energies is 0.760 eV/atom. As for the total magnetic moment: 0.595 Bohr magnetons per cell. The density of states at the Fermi level is 4.20 states/eV per cell.

=====

Record 10
Compound: Be2NiAsN
Source: the Alexandria database
Functional: PBE
Structure: optimized geometry

It has space group P4/mmm (No. 123), with a = 4.1686 Å, b = 4.1686 Å, c = 3.9616 Å, α = 90.00°, β = 90.00° and γ = 90.00°. The asymmetric unit holds Be at (0.0000, 0.5000, 0.0000), Ni at (0.0000, 0.0000, 0.5000), As at (0.5000, 0.5000, 0.0000) and N at (0.5000, 0.5000, 0.5000).

The formation energy from raw total energies is 1.419 eV/atom. As for the total magnetic moment: 1.417 Bohr magnetons per cell. The density of states at the Fermi level is 2.61 states/eV per cell.

=====

Record 11
Compound: Pa2BeAsN5
Source: the Alexandria database
Functional: PBE
Structure: optimized geometry

It has space group Cmc2_1 (No. 36), with a = 3.3909 Å, b = 12.6830 Å, c = 10.4955 Å, α = 90.00°, β = 90.00° and γ = 90.00°. The asymmetric unit holds Pa at (0.0000, 0.0830, 0.0000), Pa at (0.0000, 0.1681, 0.6847), Be at (0.0000, 0.4699, 0.7533), As at (0.0000, 0.1786, 0.3903), N at (0.0000, 0.0155, 0.8093), N at (0.0000, 0.2492, 0.0905), N at (0.0000, 0.3263, 0.3629), N at (0.0000, 0.3407, 0.7912) and N at (0.0000, 0.4909, 0.0907).

The formation energy from raw total energies is -0.896 eV/atom. As for the total magnetic moment: 0.000 Bohr magnetons per cell.

=====

Record 12
Compound: Be2AsPbN
Source: the Alexandria database
Functional: PBE
Structure: optimized geometry

It has space group P4/mmm (No. 123), with a = 3.7891 Å, b = 3.7891 Å, c = 5.5148 Å, α = 90.00°, β = 90.00° and γ = 90.00°. The asymmetric unit holds Be at (0.0000, 0.5000, 0.0000), As at (0.0000, 0.0000, 0.5000), Pb at (0.5000, 0.5000, 0.5000) and N at (0.5000, 0.5000, 0.0000).

The formation energy from raw total energies is 0.452 eV/atom. As for the total magnetic moment: 0.000 Bohr magnetons per cell. The density of states at the Fermi level is 1.89 states/eV per cell.

=====

no.,E_tot (eV/cell)
1,-71.44
2,-25.39
3,-98.71
4,-77.51
5,-67.74
6,-20.99
7,-24.56
8,-22.15
9,-31.30
10,-19.11
11,-308.24
12,-21.88